No. 1
A plane-wave DFT calculation with SCAN was carried out for InAgW2 at its PBEsol-relaxed geometry.

Calculated values
ΔH_f (0 K) (eV/atom): 0.4682

```
data_InAgW2
_cell_length_a 3.316
_cell_length_b 3.316
_cell_length_c 6.306
_cell_angle_alpha 90.00
_cell_angle_beta 90.00
_cell_angle_gamma 90.00
_space_group_name_H-M_alt 'P 4 m m'
_space_group_IT_number 99
loop_
_space_group_symop_operation_xyz
'x,y,z'
'-y,x,z'
'-x,-y,z'
'y,-x,z'
'-x,y,z'
'y,x,z'
'x,-y,z'
'-y,-x,z'
loop_
_atom_site_label
_atom_site_type_symbol
_atom_site_fract_x
_atom_site_fract_y
_atom_site_fract_z
_atom_site_occupancy
In1 In 0.000 0.000 0.000 1
Ag1 Ag 0.500 0.500 0.758 1
W1 W 0.000 0.000 0.477 1
W2 W 0.500 0.500 0.294 1
```

=====

No. 2
A plane-wave DFT calculation with SCAN was carried out for TaBeCdTe2 at its PBEsol-relaxed geometry.

Calculated values
Formation energy from raw total energies (eV per atom): 0.856

```
data_TaBeCdTe2
_cell_length_a 4.843
_cell_length_b 4.843
_cell_length_c 4.620
_cell_angle_alpha 90.00
_cell_angle_beta 90.00
_cell_angle_gamma 90.00
_space_group_name_H-M_alt 'P 4/m m m'
_space_group_IT_number 123
_space_group_name_Hall '-P 4 2'
loop_
_atom_site_label
_atom_site_type_symbol
_atom_site_fract_x
_atom_site_fract_y
_atom_site_fract_z
_atom_site_occupancy
Ta1 Ta 0.000 0.000 0.000 1
Be1 Be 0.000 0.000 0.500 1
Cd1 Cd 0.500 0.500 0.000 1
Te1 Te 0.000 0.500 0.500 1
```

=====

No. 3
A plane-wave DFT calculation with SCAN was carried out for CrRe2Se at its PBEsol-relaxed geometry.

Calculated values
Formation energy from raw total energies (eV per atom): 0.355

```
data_CrRe2Se
_cell_length_a 2.8074
_cell_length_b 2.8074
_cell_length_c 24.9128
_cell_angle_alpha 90.00
_cell_angle_beta 90.00
_cell_angle_gamma 120.00
_space_group_name_H-M_alt 'R 3 m'
_space_group_IT_number 160
_space_group_name_Hall 'R 3 -2"'
loop_
_atom_site_label
_atom_site_type_symbol
_atom_site_fract_x
_atom_site_fract_y
_atom_site_fract_z
_atom_site_occupancy
Cr1 Cr 0.0000 0.0000 0.0000 1
Re1 Re 0.0000 0.0000 0.5024 1
Re2 Re 0.0000 0.0000 0.7513 1
Se1 Se 0.0000 0.0000 0.2618 1
```

=====

No. 4
A plane-wave DFT calculation with SCAN was carried out for K2CrIn at its PBEsol-relaxed geometry.

Calculated values
ΔH_f (0 K) (eV/atom): 0.2159

```
data_K2CrIn
_cell_length_a 3.648
_cell_length_b 3.960
_cell_length_c 10.123
_cell_angle_alpha 90.00
_cell_angle_beta 90.00
_cell_angle_gamma 90.00
_space_group_name_H-M_alt 'P m m 2'
_space_group_IT_number 25
loop_
_space_group_symop_operation_xyz
'x,y,z'
'-x,-y,z'
'-x,y,z'
'x,-y,z'
loop_
_atom_site_label
_atom_site_type_symbol
_atom_site_fract_x
_atom_site_fract_y
_atom_site_fract_z
_atom_site_occupancy
K1 K 0.000 0.000 0.000 1
K2 K 0.500 0.500 0.397 1
Cr1 Cr 0.000 0.000 0.664 1
In1 In 0.500 0.500 0.740 1
```

=====

No. 5
A plane-wave DFT calculation with SCAN was carried out for MnZn2Re at its PBEsol-relaxed geometry.

Calculated values
ΔH_f (0 K) (eV/atom): 0.0089

```
data_MnZn2Re
_cell_length_a 5.284
_cell_length_b 7.867
_cell_length_c 2.594
_cell_angle_alpha 90.00
_cell_angle_beta 90.00
_cell_angle_gamma 90.00
_space_group_name_H-M_alt 'C m m m'
_space_group_IT_number 65
_space_group_name_Hall '-C 2 2'
loop_
_atom_site_label
_atom_site_type_symbol
_atom_site_fract_x
_atom_site_fract_y
_atom_site_fract_z
_atom_site_occupancy
Mn1 Mn 0.000 0.000 0.000 1
Zn1 Zn 0.250 0.250 0.500 1
Re1 Re 0.000 0.500 0.000 1
```

=====

No. 6
A plane-wave DFT calculation with SCAN was carried out for KInW2 at its PBEsol-relaxed geometry.

Calculated values
ΔH_f (0 K) (eV/atom): 0.9307

```
data_KInW2
_cell_length_a 8.827
_cell_length_b 2.704
_cell_length_c 7.839
_cell_angle_alpha 90.00
_cell_angle_beta 92.20
_cell_angle_gamma 90.00
_space_group_name_H-M_alt 'C 1 m 1'
_space_group_IT_number 8
loop_
_space_group_symop_operation_xyz
'x,y,z'
'x,-y,z'
'x+1/2,y+1/2,z'
'x+1/2,-y+1/2,z'
loop_
_atom_site_label
_atom_site_type_symbol
_atom_site_fract_x
_atom_site_fract_y
_atom_site_fract_z
_atom_site_occupancy
K1 K 0.000 0.000 0.000 1
In1 In 0.254 0.500 0.328 1
W1 W 0.237 0.000 0.679 1
W2 W 0.489 0.000 0.532 1
```

=====

No. 7
A plane-wave DFT calculation with SCAN was carried out for In2TeAs at its PBEsol-relaxed geometry.

Calculated values
Formation energy from raw total energies (eV per atom): -0.187

```
data_In2TeAs
_cell_length_a 4.000
_cell_length_b 4.000
_cell_length_c 6.762
_cell_angle_alpha 90.00
_cell_angle_beta 90.00
_cell_angle_gamma 90.00
_space_group_name_H-M_alt 'P 4 m m'
_space_group_IT_number 99
loop_
_space_group_symop_operation_xyz
'x,y,z'
'-y,x,z'
'-x,-y,z'
'y,-x,z'
'-x,y,z'
'y,x,z'
'x,-y,z'
'-y,-x,z'
loop_
_atom_site_label
_atom_site_type_symbol
_atom_site_fract_x
_atom_site_fract_y
_atom_site_fract_z
_atom_site_occupancy
In1 In 0.000 0.000 0.000 1
In2 In 0.500 0.500 0.416 1
Te1 Te 0.000 0.000 0.554 1
As1 As 0.500 0.500 0.025 1
```

=====

No. 8
A plane-wave DFT calculation with SCAN was carried out for Ta3CdPt at its PBEsol-relaxed geometry.

Calculated values
ΔH_f (0 K) (eV/atom): 2.3342

```
data_Ta3CdPt
_cell_length_a 4.817
_cell_length_b 4.817
_cell_length_c 4.817
_cell_angle_alpha 90.00
_cell_angle_beta 90.00
_cell_angle_gamma 90.00
_space_group_name_H-M_alt 'P m -3 m'
_space_group_IT_number 221
_space_group_name_Hall '-P 4 2 3'
loop_
_atom_site_label
_atom_site_type_symbol
_atom_site_fract_x
_atom_site_fract_y
_atom_site_fract_z
_atom_site_occupancy
Ta1 Ta 0.000 0.000 0.500 1
Cd1 Cd 0.000 0.000 0.000 1
Pt1 Pt 0.500 0.500 0.500 1
```

=====

No. 9
A plane-wave DFT calculation with SCAN was carried out for Ba2InOs at its PBEsol-relaxed geometry.

Calculated values
ΔH_f (0 K) (eV/atom): 0.3273

```
data_Ba2InOs
_cell_length_a 3.623
_cell_length_b 3.623
_cell_length_c 9.681
_cell_angle_alpha 90.00
_cell_angle_beta 90.00
_cell_angle_gamma 90.00
_space_group_name_H-M_alt 'P 4 m m'
_space_group_IT_number 99
loop_
_space_group_symop_operation_xyz
'x,y,z'
'-y,x,z'
'-x,-y,z'
'y,-x,z'
'-x,y,z'
'y,x,z'
'x,-y,z'
'-y,-x,z'
loop_
_atom_site_label
_atom_site_type_symbol
_atom_site_fract_x
_atom_site_fract_y
_atom_site_fract_z
_atom_site_occupancy
Ba1 Ba 0.000 0.000 0.000 1
Ba2 Ba 0.500 0.500 0.428 1
In1 In 0.000 0.000 0.666 1
Os1 Os 0.500 0.500 0.781 1
```

=====

No. 10
A plane-wave DFT calculation with SCAN was carried out for BeCrInIr2 at its PBEsol-relaxed geometry.

Calculated values
ΔH_f (0 K) (eV/atom): 1.4091

```
data_BeCrInIr2
_cell_length_a 4.428
_cell_length_b 4.428
_cell_length_c 4.762
_cell_angle_alpha 90.00
_cell_angle_beta 90.00
_cell_angle_gamma 90.00
_space_group_name_H-M_alt 'P 4/m m m'
_space_group_IT_number 123
_space_group_name_Hall '-P 4 2'
loop_
_atom_site_label
_atom_site_type_symbol
_atom_site_fract_x
_atom_site_fract_y
_atom_site_fract_z
_atom_site_occupancy
Be1 Be 0.000 0.000 0.000 1
Cr1 Cr 0.500 0.500 0.500 1
In1 In 0.500 0.500 0.000 1
Ir1 Ir 0.000 0.500 0.500 1
```

=====

No. 11
A plane-wave DFT calculation with SCAN was carried out for Ta3Co5 at its PBEsol-relaxed geometry.

Calculated values
ΔH_f (0 K) (eV/atom): -0.0383

```
data_Ta3Co5
_cell_length_a 6.876
_cell_length_b 7.730
_cell_length_c 3.827
_cell_angle_alpha 90.00
_cell_angle_beta 90.00
_cell_angle_gamma 90.00
_space_group_name_H-M_alt 'C m m m'
_space_group_IT_number 65
_space_group_name_Hall '-C 2 2'
loop_
_atom_site_label
_atom_site_type_symbol
_atom_site_fract_x
_atom_site_fract_y
_atom_site_fract_z
_atom_site_occupancy
Ta1 Ta 0.000 0.000 0.000 1
Ta2 Ta 0.000 0.289 0.500 1
Co1 Co 0.000 0.500 0.000 1
Co2 Co 0.227 0.000 0.500 1
Co3 Co 0.250 0.250 0.000 1
```

=====

No. 12
A plane-wave DFT calculation with SCAN was carried out for Li3CdSi at its PBEsol-relaxed geometry.

Calculated values
Formation energy from raw total energies (eV per atom): 0.147

```
data_Li3CdSi
_cell_length_a 4.733
_cell_length_b 4.733
_cell_length_c 4.733
_cell_angle_alpha 90.00
_cell_angle_beta 90.00
_cell_angle_gamma 90.00
_space_group_name_H-M_alt 'P m -3 m'
_space_group_IT_number 221
_space_group_name_Hall '-P 4 2 3'
loop_
_atom_site_label
_atom_site_type_symbol
_atom_site_fract_x
_atom_site_fract_y
_atom_site_fract_z
_atom_site_occupancy
Li1 Li 0.000 0.000 0.500 1
Cd1 Cd 0.500 0.500 0.500 1
Si1 Si 0.000 0.000 0.000 1
```

=====

No. 13
A plane-wave DFT calculation with SCAN was carried out for BaScTa2 at its PBEsol-relaxed geometry.

Calculated values
ΔH_f (0 K) (eV/atom): 0.8652

```
data_BaScTa2
_cell_length_a 3.651
_cell_length_b 3.651
_cell_length_c 7.398
_cell_angle_alpha 90.00
_cell_angle_beta 90.00
_cell_angle_gamma 90.00
_space_group_name_H-M_alt 'P 4/m m m'
_space_group_IT_number 123
_space_group_name_Hall '-P 4 2'
loop_
_atom_site_label
_atom_site_type_symbol
_atom_site_fract_x
_atom_site_fract_y
_atom_site_fract_z
_atom_site_occupancy
Ba1 Ba 0.000 0.000 0.000 1
Sc1 Sc 0.000 0.000 0.500 1
Ta1 Ta 0.500 0.500 0.325 1
```

=====

No. 14
A plane-wave DFT calculation with SCAN was carried out for TlTc3C at its PBEsol-relaxed geometry.

Calculated values
ΔH_f (0 K) (eV/atom): 3.6873

```
data_TlTc3C
_cell_length_a 5.049
_cell_length_b 5.049
_cell_length_c 5.049
_cell_angle_alpha 90.00
_cell_angle_beta 90.00
_cell_angle_gamma 90.00
_space_group_name_H-M_alt 'P m -3 m'
_space_group_IT_number 221
_space_group_name_Hall '-P 4 2 3'
loop_
_atom_site_label
_atom_site_type_symbol
_atom_site_fract_x
_atom_site_fract_y
_atom_site_fract_z
_atom_site_occupancy
Tl1 Tl 0.000 0.000 0.000 1
Tc1 Tc 0.000 0.000 0.500 1
C1 C 0.500 0.500 0.500 1
```